Computed, not measured: a PBEsol-optimized structure of Cs2Ni2Bi at the SCAN level of DFT. Values from VASP.

```
&SYSTEM
  ibrav = 0, nat = 5, ntyp = 3
/
ATOMIC_SPECIES
Cs 132.91 Cs.upf
Ni 58.69 Ni.upf
Bi 208.98 Bi.upf
ATOMIC_POSITIONS crystal
Cs 0.3727 0.3727 0.7453
Cs 0.6273 0.6273 0.2547
Ni 0.2500 0.7500 0.5000
Ni 0.7500 0.2500 0.5000
Bi 0.0000 0.0000 0.0000
CELL_PARAMETERS angstrom
3.3809 0.0000 0.0000
0.0000 3.3809 0.0000
-1.6904 -1.6904 12.0557
```

Computed properties:
As for the density of states at the Fermi level: 0.7321 states/eV per atom. The energy of formation is 338 meV per atom.

***

Computed, not measured: a PBEsol-optimized structure of ScAs2Pt at the SCAN level of DFT. Values from VASP.

```
&SYSTEM
  ibrav = 0, nat = 4, ntyp = 3
/
ATOMIC_SPECIES
As 74.92 As.upf
Pt 195.08 Pt.upf
Sc 44.96 Sc.upf
ATOMIC_POSITIONS crystal
As 0.0000 0.0000 0.5000
As 0.0000 0.5000 0.0000
Pt 0.5000 0.5000 0.5000
Sc 0.5000 0.0000 0.0000
CELL_PARAMETERS angstrom
-0.0223 -2.4603 -2.3354
-2.6488 -2.4230 2.5779
-3.5377 1.8405 -1.9051
```

Computed properties:
For the relative energy among the computed polymorphs, the calculation gives 1.757 kcal/mol of atoms. As for the density of states at the Fermi level: 0.4393 states/eV per atom. The energy of formation is -736 meV per atom.

***

Computed, not measured: a PBEsol-optimized structure of In2MoRh at the SCAN level of DFT. Values from VASP.

```
&SYSTEM
  ibrav = 0, nat = 4, ntyp = 3
/
ATOMIC_SPECIES
In 114.82 In.upf
Mo 95.94 Mo.upf
Rh 102.91 Rh.upf
ATOMIC_POSITIONS crystal
In 0.2500 0.5000 0.2500
In 0.7500 0.5000 0.7500
Mo 0.5000 0.0000 0.5000
Rh 0.0000 0.0000 0.0000
CELL_PARAMETERS angstrom
-2.4095 -3.5104 -1.6761
0.6559 0.3682 4.5320
-3.5045 1.1031 2.7275
```

Computed properties:
For the relative energy among the computed polymorphs, the calculation gives 1.071 kcal/mol of atoms. As for the density of states at the Fermi level: 0.7402 states/eV per atom. The energy of formation is 130 meV per atom.

***

Computed, not measured: a PBEsol-optimized structure of BeC at the SCAN level of DFT. Values from VASP.

```
&SYSTEM
  ibrav = 0, nat = 2, ntyp = 2
/
ATOMIC_SPECIES
Be 9.01 Be.upf
C 12.01 C.upf
ATOMIC_POSITIONS crystal
Be 0.0000 0.0000 0.0000
C 0.2500 0.2500 0.2500
CELL_PARAMETERS angstrom
-2.0983 -1.1491 1.6792
0.7120 -1.6703 2.2905
-0.4064 0.9962 2.7176
```

Computed properties:
For the relative energy among the computed polymorphs, the calculation gives 19.016 kcal/mol of atoms. As for the density of states at the Fermi level: 0.5648 states/eV per atom. The energy of formation is 1514 meV per atom.

***

no.,total magnetic moment (μB/atom)
1,0.305
2,0.000
3,0.585
4,0.000